# LiVB2O5 | the Alexandria database | PBE with a Hubbard U | optimized geometry
data_LiVB2O5
_chemical_formula_sum 'Li4 V4 B8 O20'
_space_group_name_H-M_alt 'P 1'
_space_group_IT_number 1
_space_group_name_Hall 'P 1'
_cell_length_a 6.9445
_cell_length_b 9.6522
_cell_length_c 5.7500
_cell_angle_alpha 90.00
_cell_angle_beta 107.52
_cell_angle_gamma 90.00
loop_
_atom_site_label
_atom_site_type_symbol
_atom_site_fract_x
_atom_site_fract_y
_atom_site_fract_z
Li1 Li 0.2080 0.0421 0.1714
Li2 Li 0.2080 0.4579 0.6714
Li3 Li 0.7920 0.5421 0.3286
Li4 Li 0.7920 0.9579 0.8286
V1 V 0.2442 0.6761 0.2960
V2 V 0.2442 0.8239 0.7960
V3 V 0.7558 0.1761 0.2040
V4 V 0.7558 0.3239 0.7040
B1 B 0.0952 0.1173 0.6646
B2 B 0.0952 0.3827 0.1646
B3 B 0.4542 0.0822 0.7214
B4 B 0.4542 0.4178 0.2214
B5 B 0.5458 0.5822 0.7786
B6 B 0.5458 0.9178 0.2786
B7 B 0.9048 0.6173 0.8354
B8 B 0.9048 0.8827 0.3354
O1 O 0.0678 0.7042 0.9291
O2 O 0.0678 0.7958 0.4291
O3 O 0.0837 0.0026 0.8002
O4 O 0.0837 0.4974 0.3002
O5 O 0.2726 0.1538 0.6134
O6 O 0.2726 0.3462 0.1134
O7 O 0.3704 0.6584 0.6842
O8 O 0.3704 0.8416 0.1842
O9 O 0.4657 0.5575 0.2411
O10 O 0.4657 0.9425 0.7411
O11 O 0.5343 0.0575 0.2589
O12 O 0.5343 0.4425 0.7589
O13 O 0.6296 0.1584 0.8158
O14 O 0.6296 0.3416 0.3158
O15 O 0.7274 0.6538 0.8866
O16 O 0.7274 0.8462 0.3866
O17 O 0.9163 0.5026 0.6998
O18 O 0.9163 0.9974 0.1998
O19 O 0.9322 0.2042 0.5709
O20 O 0.9322 0.2958 0.0709
# DFT total energy	-272.7	eV/cell